First-principles (GGA+U) data for a relaxed TaFeN2F crystal, as listed in the Alexandria database.

Cell lengths 4.085, 4.085, 3.962 Å; angles 90.00, 90.00, 90.00 degrees
Last column: magnetic moment on the atom in μB.
Fractional positions:
N1 0.500 0.000 0.000  0.00
N2 0.000 0.500 0.000  0.00
F1 0.000 0.000 0.500  0.01
Ta1 0.000 0.000 0.000  0.00
Fe1 0.500 0.500 0.500  3.77

The space group is P4/mmm, No. 123. The calculated density comes out at 7.128 g/cm³. The volume is 13.22 A^3/atom. As for the energy above the most stable polymorph in this dataset: 0.000 eV/atom. The calculation puts the density of states at the Fermi level at 0.23 states/eV per atom.